(1)
First-principles (PBE) data for an optimized crystal structure of RbNaAgAs, as listed in OQMD via LeMat-Bulk.

a = 6.443 Å, b = 5.752 Å, c = 6.486 Å
α = 90.00°, β = 100.90°, γ = 90.00°
Sites, in units of the cell vectors:
Rb (0.045, 0.250, 0.194)
Rb (0.955, 0.750, 0.806)
Na (0.366, 0.750, 0.525)
Na (0.634, 0.250, 0.475)
Ag (0.500, 0.000, 0.000)
Ag (0.500, 0.500, 0.000)
As (0.278, 0.250, 0.713)
As (0.722, 0.750, 0.287)

Results
Electronic total energy, eV per cell: -22.4
Crystal system: monoclinic

(2)
First-principles (PBE) data for an optimized crystal structure of Na2Mg2Sn2IrPd, as listed in OQMD via LeMat-Bulk.

a = 4.721 Å, b = 4.721 Å, c = 6.671 Å
α = 90.00°, β = 90.00°, γ = 90.00°
Sites, in units of the cell vectors:
Na (0.000, 0.000, 0.000)
Na (0.500, 0.500, 0.500)
Mg (0.000, 0.500, 0.245)
Mg (0.500, 0.000, 0.755)
Sn (0.000, 0.500, 0.758)
Sn (0.500, 0.000, 0.242)
Ir (0.500, 0.500, 0.000)
Pd (0.000, 0.000, 0.500)

Results
Electronic total energy, eV per cell: -29.9
Crystal system: tetragonal

(3)
First-principles (PBE) data for an optimized crystal structure of Dy2PdC4, as listed in OQMD via LeMat-Bulk.

a = 6.703 Å, b = 6.703 Å, c = 6.703 Å
α = 108.96°, β = 89.08°, γ = 133.73°
Sites, in units of the cell vectors:
Dy (0.145, 0.159, 0.304)
Dy (0.355, 0.659, 0.013)
Dy (0.645, 0.341, 0.987)
Dy (0.855, 0.841, 0.696)
Pd (0.250, 0.750, 0.500)
Pd (0.750, 0.250, 0.500)
C (0.089, 0.690, 0.779)
C (0.128, 0.855, 0.982)
C (0.372, 0.355, 0.727)
C (0.411, 0.190, 0.601)
C (0.589, 0.810, 0.399)
C (0.628, 0.645, 0.273)
C (0.872, 0.145, 0.018)
C (0.911, 0.310, 0.221)

Results
Electronic total energy, eV per cell: -104.9
Crystal system: orthorhombic

(4)
First-principles (PBE) data for an optimized crystal structure of Cs2HfPtBr6, as listed in OQMD via LeMat-Bulk.

a = 7.732 Å, b = 7.732 Å, c = 7.732 Å
α = 60.00°, β = 60.00°, γ = 60.00°
Sites, in units of the cell vectors:
Cs (0.250, 0.250, 0.250)
Cs (0.750, 0.750, 0.750)
Hf (0.000, 0.000, 0.000)
Pt (0.500, 0.500, 0.500)
Br (0.243, 0.243, 0.757)
Br (0.243, 0.757, 0.243)
Br (0.243, 0.757, 0.757)
Br (0.757, 0.243, 0.243)
Br (0.757, 0.243, 0.757)
Br (0.757, 0.757, 0.243)

Results
Electronic total energy, eV per cell: -38.9
Crystal system: cubic

(5)
First-principles (PBE) data for an optimized crystal structure of ZnCdO3, as listed in OQMD via LeMat-Bulk.

a = 5.523 Å, b = 7.560 Å, c = 5.290 Å
α = 90.00°, β = 90.00°, γ = 90.00°
Sites, in units of the cell vectors:
Zn (0.000, 0.000, 0.000)
Zn (0.000, 0.500, 0.000)
Zn (0.500, 0.000, 0.500)
Zn (0.500, 0.500, 0.500)
Cd (0.055, 0.250, 0.483)
Cd (0.445, 0.750, 0.983)
Cd (0.555, 0.250, 0.017)
Cd (0.945, 0.750, 0.517)
O (0.052, 0.750, 0.112)
O (0.206, 0.558, 0.695)
O (0.206, 0.942, 0.695)
O (0.294, 0.058, 0.195)
O (0.294, 0.442, 0.195)
O (0.448, 0.250, 0.612)
O (0.552, 0.750, 0.388)
O (0.706, 0.558, 0.805)
O (0.706, 0.942, 0.805)
O (0.794, 0.058, 0.305)
O (0.794, 0.442, 0.305)
O (0.948, 0.250, 0.888)

Results
Electronic total energy, eV per cell: -79.6
Crystal system: orthorhombic

(6)
First-principles (PBE) data for an optimized crystal structure of NdGd2Mg3Tl2Hg, as listed in OQMD via LeMat-Bulk.

a = 4.663 Å, b = 7.628 Å, c = 7.628 Å
α = 120.47°, β = 90.00°, γ = 90.00°
Sites, in units of the cell vectors:
Nd (0.000, 0.000, 0.000)
Gd (0.000, 0.418, 0.837)
Gd (0.000, 0.837, 0.418)
Mg (0.500, 0.182, 0.419)
Mg (0.500, 0.419, 0.182)
Mg (0.500, 0.658, 0.658)
Tl (0.500, 0.087, 0.749)
Tl (0.500, 0.749, 0.087)
Hg (0.000, 0.425, 0.425)

Results
Electronic total energy, eV per cell: -27.3
Crystal system: orthorhombic

(7)
First-principles (PBE) data for an optimized crystal structure of KLuFeS3, as listed in OQMD via LeMat-Bulk.

a = 9.758 Å, b = 3.919 Å, c = 14.385 Å
α = 90.00°, β = 90.00°, γ = 90.00°
Sites, in units of the cell vectors:
K (0.032, 0.250, 0.170)
K (0.468, 0.750, 0.670)
K (0.532, 0.250, 0.330)
K (0.968, 0.750, 0.830)
Lu (0.164, 0.750, 0.439)
Lu (0.336, 0.250, 0.939)
Lu (0.664, 0.750, 0.061)
Lu (0.836, 0.250, 0.561)
Fe (0.152, 0.250, 0.633)
Fe (0.348, 0.750, 0.133)
Fe (0.652, 0.250, 0.867)
Fe (0.848, 0.750, 0.367)
S (0.022, 0.750, 0.606)
S (0.188, 0.750, 0.015)
S (0.225, 0.250, 0.778)
S (0.275, 0.750, 0.278)
S (0.312, 0.250, 0.515)
S (0.478, 0.250, 0.106)
S (0.522, 0.750, 0.894)
S (0.688, 0.750, 0.485)
S (0.725, 0.250, 0.722)
S (0.775, 0.750, 0.222)
S (0.812, 0.250, 0.985)
S (0.978, 0.250, 0.394)

Results
Electronic total energy, eV per cell: -135.7
Crystal system: orthorhombic

(8)
First-principles (PBE) data for an optimized crystal structure of BeFeCu4As2, as listed in OQMD via LeMat-Bulk.

a = 3.896 Å, b = 3.896 Å, c = 6.562 Å
α = 90.00°, β = 90.00°, γ = 90.00°
Sites, in units of the cell vectors:
Be (0.000, 0.000, 0.000)
Fe (0.500, 0.500, 0.500)
Cu (0.000, 0.500, 0.232)
Cu (0.000, 0.500, 0.768)
Cu (0.500, 0.000, 0.232)
Cu (0.500, 0.000, 0.768)
As (0.000, 0.000, 0.500)
As (0.500, 0.500, 0.000)

Results
Electronic total energy, eV per cell: -34.3
Crystal system: tetragonal

(9)
First-principles (PBE) data for an optimized crystal structure of BePtW, as listed in OQMD via LeMat-Bulk.

a = 4.085 Å, b = 4.085 Å, c = 4.085 Å
α = 60.00°, β = 60.00°, γ = 60.00°
Sites, in units of the cell vectors:
Be (0.000, 0.000, 0.000)
Pt (0.250, 0.250, 0.250)
W (0.500, 0.500, 0.500)

Results
Electronic total energy, eV per cell: -22.6
Crystal system: cubic

(10)
First-principles (PBE) data for an optimized crystal structure of AgTePtO, as listed in OQMD via LeMat-Bulk.

a = 4.580 Å, b = 4.580 Å, c = 7.366 Å
α = 90.00°, β = 90.00°, γ = 90.00°
Sites, in units of the cell vectors:
Ag (0.250, 0.250, 0.239)
Ag (0.750, 0.750, 0.761)
Te (0.250, 0.250, 0.784)
Te (0.750, 0.750, 0.216)
Pt (0.250, 0.750, 0.000)
Pt (0.750, 0.250, 0.000)
O (0.250, 0.250, 0.530)
O (0.750, 0.750, 0.470)

Results
Electronic total energy, eV per cell: -34.9
Crystal system: tetragonal

(11)
First-principles (PBE) data for an optimized crystal structure of Y3Er3Lu2Te, as listed in OQMD via LeMat-Bulk.

a = 9.178 Å, b = 9.178 Å, c = 3.748 Å
α = 90.00°, β = 90.00°, γ = 120.00°
Sites, in units of the cell vectors:
Y (0.000, 0.275, 0.000)
Y (0.275, 0.000, 0.000)
Y (0.725, 0.725, 0.000)
Er (0.000, 0.615, 0.500)
Er (0.385, 0.385, 0.500)
Er (0.615, 0.000, 0.500)
Lu (0.333, 0.667, 0.000)
Lu (0.667, 0.333, 0.000)
Te (0.000, 0.000, 0.500)

Results
Electronic total energy, eV per cell: -47.9
Crystal system: hexagonal

(12)
First-principles (PBE) data for an optimized crystal structure of RbLiSmTe3, as listed in OQMD via LeMat-Bulk.

a = 8.134 Å, b = 8.134 Å, c = 11.949 Å
α = 90.00°, β = 90.00°, γ = 147.77°
Sites, in units of the cell vectors:
Rb (0.243, 0.757, 0.750)
Rb (0.757, 0.243, 0.250)
Li (0.044, 0.956, 0.250)
Li (0.956, 0.044, 0.750)
Sm (0.500, 0.500, 0.000)
Sm (0.500, 0.500, 0.500)
Te (0.134, 0.866, 0.050)
Te (0.134, 0.866, 0.450)
Te (0.443, 0.557, 0.250)
Te (0.557, 0.443, 0.750)
Te (0.866, 0.134, 0.550)
Te (0.866, 0.134, 0.950)

Results
Electronic total energy, eV per cell: -47.0
Crystal system: orthorhombic

(13)
First-principles (PBE) data for an optimized crystal structure of Dy2Y3Lu3, as listed in OQMD via LeMat-Bulk.

a = 7.174 Å, b = 7.174 Å, c = 5.592 Å
α = 90.00°, β = 90.00°, γ = 120.00°
Sites, in units of the cell vectors:
Dy (0.000, 0.000, 0.000)
Dy (0.333, 0.667, 0.500)
Y (0.500, 0.001, 0.000)
Y (0.500, 0.500, 0.000)
Y (0.999, 0.500, 0.000)
Lu (0.334, 0.167, 0.500)
Lu (0.833, 0.167, 0.500)
Lu (0.833, 0.666, 0.500)

Results
Electronic total energy, eV per cell: -42.1
Formation energy, eV per atom: 0.01
Crystal system: hexagonal

(14)
First-principles (PBE) data for an optimized crystal structure of NdY2, as listed in OQMD via LeMat-Bulk.

a = 8.951 Å, b = 8.951 Å, c = 8.951 Å
α = 60.00°, β = 60.00°, γ = 60.00°
Sites, in units of the cell vectors:
Nd (0.125, 0.125, 0.125)
Nd (0.875, 0.875, 0.875)
Y (0.000, 0.000, 0.000)
Y (0.000, 0.000, 0.500)
Y (0.000, 0.500, 0.000)
Y (0.500, 0.000, 0.000)

Results
Electronic total energy, eV per cell: -20.8
Formation energy, eV per atom: 2.43
Crystal system: cubic

(15)
First-principles (PBE) data for an optimized crystal structure of InAg2Pd2, as listed in OQMD via LeMat-Bulk.

a = 6.841 Å, b = 6.841 Å, c = 6.841 Å
α = 147.19°, β = 147.19°, γ = 47.09°
Sites, in units of the cell vectors:
In (0.000, 0.000, 0.000)
Ag (0.250, 0.750, 0.500)
Ag (0.750, 0.250, 0.500)
Pd (0.400, 0.400, 0.000)
Pd (0.600, 0.600, 0.000)

Results
Electronic total energy, eV per cell: -18.5
Crystal system: tetragonal

(16)
First-principles (PBE) data for an optimized crystal structure of TmAlPO, as listed in OQMD via LeMat-Bulk.

a = 3.671 Å, b = 5.515 Å, c = 6.624 Å
α = 90.00°, β = 90.00°, γ = 90.00°
Sites, in units of the cell vectors:
Tm (0.000, 0.164, 0.000)
Tm (0.000, 0.836, 0.500)
Al (0.500, 0.298, 0.368)
Al (0.500, 0.702, 0.868)
P (0.500, 0.319, 0.718)
P (0.500, 0.681, 0.218)
O (0.000, 0.179, 0.332)
O (0.000, 0.821, 0.832)

Results
Electronic total energy, eV per cell: -49.5
Crystal system: orthorhombic

(17)
First-principles (PBE) data for an optimized crystal structure of Tc, as listed in OQMD via LeMat-Bulk.

a = 5.243 Å, b = 5.243 Å, c = 2.889 Å
α = 90.00°, β = 90.00°, γ = 129.21°
Sites, in units of the cell vectors:
Tc (0.135, 0.865, 0.941)
Tc (0.365, 0.635, 0.441)
Tc (0.635, 0.365, 0.559)
Tc (0.865, 0.135, 0.059)

Results
Electronic total energy, eV per cell: -39.5
Formation energy, eV per atom: 0.50
Crystal system: orthorhombic

(18)
First-principles (PBE) data for an optimized crystal structure of KHfTe3Au, as listed in OQMD via LeMat-Bulk.

a = 9.872 Å, b = 9.872 Å, c = 9.319 Å
α = 93.89°, β = 93.89°, γ = 23.76°
Sites, in units of the cell vectors:
K (0.131, 0.131, 0.101)
K (0.869, 0.869, 0.899)
Hf (0.154, 0.154, 0.596)
Hf (0.846, 0.846, 0.404)
Te (0.000, 0.000, 0.500)
Te (0.314, 0.314, 0.188)
Te (0.315, 0.315, 0.611)
Te (0.500, 0.500, 0.000)
Te (0.685, 0.685, 0.389)
Te (0.686, 0.686, 0.812)
Au (0.451, 0.451, 0.285)
Au (0.549, 0.549, 0.715)

Results
Electronic total energy, eV per cell: -54.9
Crystal system: monoclinic

(19)
First-principles (PBE) data for an optimized crystal structure of LuTlHgTe3, as listed in OQMD via LeMat-Bulk.

a = 15.178 Å, b = 4.416 Å, c = 11.782 Å
α = 90.00°, β = 90.00°, γ = 90.00°
Sites, in units of the cell vectors:
Lu (0.024, 0.250, 0.155)
Lu (0.476, 0.750, 0.655)
Lu (0.524, 0.250, 0.345)
Lu (0.976, 0.750, 0.845)
Tl (0.233, 0.250, 0.448)
Tl (0.267, 0.750, 0.948)
Tl (0.733, 0.250, 0.052)
Tl (0.767, 0.750, 0.552)
Hg (0.021, 0.750, 0.396)
Hg (0.479, 0.250, 0.896)
Hg (0.521, 0.750, 0.104)
Hg (0.979, 0.250, 0.604)
Te (0.100, 0.250, 0.922)
Te (0.102, 0.750, 0.630)
Te (0.155, 0.750, 0.229)
Te (0.345, 0.250, 0.729)
Te (0.398, 0.250, 0.130)
Te (0.400, 0.750, 0.422)
Te (0.600, 0.250, 0.578)
Te (0.602, 0.750, 0.870)
Te (0.655, 0.750, 0.271)
Te (0.845, 0.250, 0.771)
Te (0.898, 0.250, 0.370)
Te (0.900, 0.750, 0.078)

Results
Electronic total energy, eV per cell: -82.5
Crystal system: orthorhombic

(20)
First-principles (PBE) data for an optimized crystal structure of SmZrAsO, as listed in OQMD via LeMat-Bulk.

a = 4.114 Å, b = 7.771 Å, c = 5.198 Å
α = 90.00°, β = 90.00°, γ = 90.00°
Sites, in units of the cell vectors:
Sm (0.000, 0.138, 0.000)
Sm (0.000, 0.862, 0.500)
Zr (0.500, 0.255, 0.500)
Zr (0.500, 0.745, 0.000)
As (0.500, 0.391, 0.001)
As (0.500, 0.609, 0.501)
O (0.000, 0.170, 0.499)
O (0.000, 0.830, 0.999)

Results
Electronic total energy, eV per cell: -59.6
Crystal system: orthorhombic